# 1
# PIrOs, relaxed, DFT PBE
# Formation enthalpy at 0 K ... 1.8 kJ/mol of atoms
# Final energy ... -8.482 eV/atom
# M_tot ... 0.00 μB per atom
# Energy relative to the lowest polymorph listed for this composition ... 0.36 eV per formula unit
data_PIrOs
_chemical_formula_sum 'P1 Ir1 Os1'
_space_group_name_H-M_alt 'P 3 m 1'
_space_group_IT_number 156
_space_group_name_Hall 'P 3 -2"'
_cell_length_a 2.8384
_cell_length_b 2.8384
_cell_length_c 5.9242
_cell_angle_alpha 90.00
_cell_angle_beta 90.00
_cell_angle_gamma 120.00
loop_
_atom_site_label
_atom_site_type_symbol
_atom_site_fract_x
_atom_site_fract_y
_atom_site_fract_z
P1 P 0.0000 0.0000 0.0000
Ir1 Ir 0.6667 0.3333 0.3123
Os1 Os 0.3333 0.6667 0.7078

# 2
# PIrOs2, relaxed, DFT PBE
# Formation enthalpy at 0 K ... 14.2 kJ/mol of atoms
# Final energy ... -9.035 eV/atom
# M_tot ... 0.00 μB per atom
data_PIrOs2
_chemical_formula_sum 'P2 Ir2 Os4'
_space_group_name_H-M_alt 'C 1 m 1'
_space_group_IT_number 8
_space_group_name_Hall 'C -2y'
_cell_length_a 9.2179
_cell_length_b 2.8286
_cell_length_c 4.5287
_cell_angle_alpha 90.00
_cell_angle_beta 92.35
_cell_angle_gamma 90.00
loop_
_atom_site_label
_atom_site_type_symbol
_atom_site_fract_x
_atom_site_fract_y
_atom_site_fract_z
P1 P 0.0000 0.0000 0.0000
Ir1 Ir 0.1939 0.0000 0.3321
Os1 Os 0.2575 0.5000 0.8187
Os2 Os 0.4738 0.0000 0.5960

# 3
# PIrOs2, relaxed, DFT PBE
# Formation enthalpy at 0 K ... 14.5 kJ/mol of atoms
# Final energy ... -9.032 eV/atom
# M_tot ... 0.00 μB per atom
data_PIrOs2
_chemical_formula_sum 'P1 Ir1 Os2'
_space_group_name_H-M_alt 'P 4 m m'
_space_group_IT_number 99
_space_group_name_Hall 'P 4 -2'
_cell_length_a 2.8284
_cell_length_b 2.8284
_cell_length_c 6.8861
_cell_angle_alpha 90.00
_cell_angle_beta 90.00
_cell_angle_gamma 90.00
loop_
_atom_site_label
_atom_site_type_symbol
_atom_site_fract_x
_atom_site_fract_y
_atom_site_fract_z
P1 P 0.0000 0.0000 0.0000
Ir1 Ir 0.5000 0.5000 0.2203
Os1 Os 0.0000 0.0000 0.5122
Os2 Os 0.5000 0.5000 0.7760

- What is the M_tot in the third record?
  0.00 μB per atom

- final energy of number 1 (PIrOs)?
  -8.482 eV/atom

- Which of these has the lowest final energy?
  number 2

- M_tot of number 1 (PIrOs)?
  0.00 μB per atom